1.
Mn2OsW | meta-GGA SCAN | single point on PBEsol structure Values from VASP.

```
&SYSTEM
  ibrav = 0, nat = 4, ntyp = 3
/
ATOMIC_SPECIES
Mn 54.94 Mn.upf
Os 190.23 Os.upf
W 183.84 W.upf
ATOMIC_POSITIONS crystal
Mn 0.000 0.000 0.000
Mn 0.500 0.500 0.220
Os 0.000 0.000 0.453
W 0.500 0.500 0.743
CELL_PARAMETERS angstrom
2.672 0.000 0.000
0.000 3.608 0.000
0.000 0.000 5.314
```

Properties
- Space group: No. 25
- Energy of formation: 102 meV per atom

---

2.
ErNiC2 | meta-GGA SCAN | single point on PBEsol structure Values from VASP.

```
&SYSTEM
  ibrav = 0, nat = 4, ntyp = 3
/
ATOMIC_SPECIES
Er 167.26 Er.upf
Ni 58.69 Ni.upf
C 12.01 C.upf
ATOMIC_POSITIONS crystal
Er 0.000 0.000 0.000
Ni 0.500 0.389 0.389
C 0.500 0.546 0.855
C 0.500 0.855 0.546
CELL_PARAMETERS angstrom
3.479 0.000 0.000
0.000 2.233 2.948
0.000 -2.233 2.948
```

Properties
- Space group: No. 38
- Energy of formation: -434 meV per atom

---

3.
Ba3NbC | meta-GGA SCAN | single point on PBEsol structure Values from VASP.

```
&SYSTEM
  ibrav = 0, nat = 5, ntyp = 3
/
ATOMIC_SPECIES
Ba 137.33 Ba.upf
Nb 92.91 Nb.upf
C 12.01 C.upf
ATOMIC_POSITIONS crystal
Ba 0.000 0.000 0.500
Ba 0.000 0.500 0.000
Ba 0.500 0.000 0.000
Nb 0.000 0.000 0.000
C 0.500 0.500 0.500
CELL_PARAMETERS angstrom
5.790 0.000 0.000
0.000 5.790 0.000
0.000 0.000 5.790
```

Properties
- Space group: No. 221
- Energy of formation: 1800 meV per atom

---

4.
MnCo2Ru | meta-GGA SCAN | single point on PBEsol structure Values from VASP.

```
&SYSTEM
  ibrav = 0, nat = 4, ntyp = 3
/
ATOMIC_SPECIES
Mn 54.94 Mn.upf
Co 58.93 Co.upf
Ru 101.07 Ru.upf
ATOMIC_POSITIONS crystal
Mn 0.000 0.000 0.000
Co 0.000 0.000 0.534
Co 0.500 0.500 0.764
Ru 0.500 0.500 0.254
CELL_PARAMETERS angstrom
2.762 0.000 0.000
0.000 2.762 0.000
0.000 0.000 6.050
```

Properties
- Space group: No. 99
- Energy of formation: 15 meV per atom

---

5.
CaLaAgBi2 | meta-GGA SCAN | single point on PBEsol structure Values from VASP.

```
&SYSTEM
  ibrav = 0, nat = 5, ntyp = 4
/
ATOMIC_SPECIES
Ca 40.08 Ca.upf
La 138.91 La.upf
Ag 107.87 Ag.upf
Bi 208.98 Bi.upf
ATOMIC_POSITIONS crystal
Ca 0.000 0.000 0.000
La 0.500 0.500 0.500
Ag 0.000 0.000 0.500
Bi 0.000 0.500 0.000
Bi 0.500 0.000 0.000
CELL_PARAMETERS angstrom
5.616 0.000 0.000
0.000 5.616 0.000
0.000 0.000 5.182
```

Properties
- Space group: No. 123
- Energy of formation: -27 meV per atom

---

6.
Ba4AlRe | meta-GGA SCAN | single point on PBEsol structure Values from VASP.

```
&SYSTEM
  ibrav = 0, nat = 6, ntyp = 3
/
ATOMIC_SPECIES
Ba 137.33 Ba.upf
Al 26.98 Al.upf
Re 186.21 Re.upf
ATOMIC_POSITIONS crystal
Ba 0.125 0.125 0.125
Ba 0.125 0.125 0.624
Ba 0.125 0.624 0.125
Ba 0.624 0.125 0.125
Al 0.750 0.750 0.750
Re 0.500 0.500 0.500
CELL_PARAMETERS angstrom
0.000 4.750 4.750
4.750 0.000 4.750
4.750 4.750 0.000
```

Properties
- Space group: No. 216
- Energy of formation: 1364 meV per atom

---

7.
CaTc2W | meta-GGA SCAN | single point on PBEsol structure Values from VASP.

```
&SYSTEM
  ibrav = 0, nat = 4, ntyp = 3
/
ATOMIC_SPECIES
Ca 40.08 Ca.upf
Tc 98.00 Tc.upf
W 183.84 W.upf
ATOMIC_POSITIONS crystal
Ca 0.000 0.000 0.000
Tc 0.000 0.500 0.500
Tc 0.500 0.000 0.500
W 0.500 0.500 0.000
CELL_PARAMETERS angstrom
2.910 -4.433 0.000
2.910 4.433 0.000
-0.900 0.000 2.503
```

Properties
- Space group: No. 12
- Energy of formation: 610 meV per atom

---

8.
TlSb2Pb | meta-GGA SCAN | single point on PBEsol structure Values from VASP.

```
&SYSTEM
  ibrav = 0, nat = 4, ntyp = 3
/
ATOMIC_SPECIES
Tl 204.38 Tl.upf
Sb 121.76 Sb.upf
Pb 207.20 Pb.upf
ATOMIC_POSITIONS crystal
Tl 0.000 0.000 0.000
Sb 0.500 0.500 0.255
Sb 0.500 0.500 0.745
Pb 0.000 0.000 0.500
CELL_PARAMETERS angstrom
3.304 0.000 0.000
0.000 3.304 0.000
0.000 0.000 10.362
```

Properties
- Space group: No. 123
- Formation energy without anion corrections: 0.4 eV per formula unit

---

9.
Mn2BeHg | meta-GGA SCAN | single point on PBEsol structure Values from VASP.

```
&SYSTEM
  ibrav = 0, nat = 4, ntyp = 3
/
ATOMIC_SPECIES
Mn 54.94 Mn.upf
Be 9.01 Be.upf
Hg 200.59 Hg.upf
ATOMIC_POSITIONS crystal
Mn 0.250 0.750 0.500
Mn 0.750 0.250 0.500
Be 0.000 0.000 0.000
Hg 0.500 0.500 0.000
CELL_PARAMETERS angstrom
-1.875 1.875 3.805
1.875 -1.875 3.805
1.875 1.875 -3.805
```

Properties
- Space group: No. 139
- Energy of formation: 43 meV per atom

---

10.
CaMn2Te | meta-GGA SCAN | single point on PBEsol structure Values from VASP.

```
&SYSTEM
  ibrav = 0, nat = 4, ntyp = 3
/
ATOMIC_SPECIES
Ca 40.08 Ca.upf
Mn 54.94 Mn.upf
Te 127.60 Te.upf
ATOMIC_POSITIONS crystal
Ca 0.000 0.000 0.000
Mn 0.250 0.750 0.500
Mn 0.750 0.250 0.500
Te 0.500 0.500 0.000
CELL_PARAMETERS angstrom
-2.079 2.079 4.700
2.079 -2.079 4.700
2.079 2.079 -4.700
```

Properties
- Space group: No. 139
- Formation energy without anion corrections: -0.5 eV per formula unit

---

11.
IrRhI2N | meta-GGA SCAN | single point on PBEsol structure Values from VASP.

```
&SYSTEM
  ibrav = 0, nat = 5, ntyp = 4
/
ATOMIC_SPECIES
Ir 192.22 Ir.upf
Rh 102.91 Rh.upf
I 126.90 I.upf
N 14.01 N.upf
ATOMIC_POSITIONS crystal
Ir 0.000 0.000 0.000
Rh 0.500 0.500 0.500
I 0.000 0.500 0.500
I 0.500 0.000 0.500
N 0.500 0.500 0.000
CELL_PARAMETERS angstrom
5.313 0.000 0.000
0.000 5.313 0.000
0.000 0.000 3.558
```

Properties
- Space group: No. 123
- Formation energy without anion corrections: 6.0 eV per formula unit

---

12.
Ta3SiB | meta-GGA SCAN | single point on PBEsol structure Values from VASP.

```
&SYSTEM
  ibrav = 0, nat = 5, ntyp = 3
/
ATOMIC_SPECIES
Ta 180.95 Ta.upf
Si 28.09 Si.upf
B 10.81 B.upf
ATOMIC_POSITIONS crystal
Ta 0.000 0.000 0.500
Ta 0.000 0.500 0.000
Ta 0.500 0.000 0.000
Si 0.000 0.000 0.000
B 0.500 0.500 0.500
CELL_PARAMETERS angstrom
4.538 0.000 0.000
0.000 4.538 0.000
0.000 0.000 4.538
```

Properties
- Space group: No. 221
- Formation energy without anion corrections: 8.9 eV per formula unit

---

13.
Mg2CuSb | meta-GGA SCAN | single point on PBEsol structure Values from VASP.

```
&SYSTEM
  ibrav = 0, nat = 4, ntyp = 3
/
ATOMIC_SPECIES
Mg 24.30 Mg.upf
Cu 63.55 Cu.upf
Sb 121.76 Sb.upf
ATOMIC_POSITIONS crystal
Mg 0.240 0.240 0.210
Mg 0.760 0.760 0.790
Cu 0.500 0.500 0.000
Sb 0.000 0.000 0.500
CELL_PARAMETERS angstrom
4.264 -1.633 0.000
4.264 1.633 0.000
-1.145 0.000 5.793
```

Properties
- Space group: No. 12
- Formation energy without anion corrections: 0.0 eV per formula unit

---

14.
Re2SiCl | meta-GGA SCAN | single point on PBEsol structure Values from VASP.

```
&SYSTEM
  ibrav = 0, nat = 4, ntyp = 3
/
ATOMIC_SPECIES
Re 186.21 Re.upf
Si 28.09 Si.upf
Cl 35.45 Cl.upf
ATOMIC_POSITIONS crystal
Re 0.000 0.000 0.000
Re 0.763 0.263 0.500
Si 0.204 0.704 0.500
Cl 0.467 0.467 0.000
CELL_PARAMETERS angstrom
-1.435 2.016 5.021
1.435 -2.016 5.021
1.435 2.016 -5.021
```

Properties
- Space group: No. 44
- Formation energy without anion corrections: 3.1 eV per formula unit

---

15.
SrRh2Br | meta-GGA SCAN | single point on PBEsol structure Values from VASP.

```
&SYSTEM
  ibrav = 0, nat = 4, ntyp = 3
/
ATOMIC_SPECIES
Sr 87.62 Sr.upf
Rh 102.91 Rh.upf
Br 79.90 Br.upf
ATOMIC_POSITIONS crystal
Sr 0.000 0.000 0.000
Rh 0.000 0.500 0.500
Rh 0.500 0.000 0.500
Br 0.500 0.500 0.000
CELL_PARAMETERS angstrom
2.879 -4.936 0.000
2.879 4.936 0.000
-1.740 0.000 2.657
```

Properties
- Space group: No. 12
- Formation energy without anion corrections: 0.4 eV per formula unit

---

16.
MnF4 | meta-GGA SCAN | single point on PBEsol structure Values from VASP.

```
&SYSTEM
  ibrav = 0, nat = 15, ntyp = 2
/
ATOMIC_SPECIES
Mn 54.94 Mn.upf
F 19.00 F.upf
ATOMIC_POSITIONS crystal
Mn 0.000 0.000 0.000
Mn 0.000 0.000 0.500
Mn 0.500 0.500 0.000
F 0.137 0.011 0.246
F 0.139 0.302 0.567
F 0.198 0.688 0.931
F 0.301 0.859 0.570
F 0.309 0.192 0.934
F 0.376 0.510 0.232
F 0.624 0.490 0.768
F 0.691 0.808 0.066
F 0.699 0.141 0.430
F 0.802 0.312 0.069
F 0.861 0.698 0.433
F 0.863 0.989 0.754
CELL_PARAMETERS angstrom
4.904 0.000 0.000
-0.012 5.220 0.000
-0.149 -0.723 6.967
```

Properties
- Space group: No. 2
- Formation energy without anion corrections: -12.1 eV per formula unit

---

17.
Li3CuS2 | meta-GGA SCAN | single point on PBEsol structure Values from VASP.

```
&SYSTEM
  ibrav = 0, nat = 12, ntyp = 3
/
ATOMIC_SPECIES
Li 6.94 Li.upf
Cu 63.55 Cu.upf
S 32.06 S.upf
ATOMIC_POSITIONS crystal
Li 0.016 0.750 0.266
Li 0.250 0.250 0.000
Li 0.484 0.750 0.734
Li 0.516 0.250 0.266
Li 0.750 0.750 0.000
Li 0.984 0.250 0.734
Cu 0.000 0.500 0.500
Cu 0.500 0.000 0.500
S 0.133 0.226 0.360
S 0.367 0.726 0.093
S 0.633 0.274 0.907
S 0.867 0.774 0.640
CELL_PARAMETERS angstrom
-2.821 5.557 2.984
2.821 -5.557 2.984
2.821 5.557 -2.984
```

Properties
- Space group: No. 72
- Formation energy without anion corrections: -7.1 eV per formula unit

---

18.
SrIn2Hg | meta-GGA SCAN | single point on PBEsol structure Values from VASP.

```
&SYSTEM
  ibrav = 0, nat = 4, ntyp = 3
/
ATOMIC_SPECIES
Sr 87.62 Sr.upf
In 114.82 In.upf
Hg 200.59 Hg.upf
ATOMIC_POSITIONS crystal
Sr 0.000 0.000 0.000
In 0.000 0.500 0.500
In 0.500 0.000 0.500
Hg 0.500 0.500 0.000
CELL_PARAMETERS angstrom
4.649 0.000 0.000
0.000 4.649 0.000
0.000 0.000 4.890
```

Properties
- Space group: No. 123
- Energy of formation: -390 meV per atom

---

19.
Hf2ZrAs2 | meta-GGA SCAN | single point on PBEsol structure Values from VASP.

```
&SYSTEM
  ibrav = 0, nat = 10, ntyp = 3
/
ATOMIC_SPECIES
Hf 178.49 Hf.upf
Zr 91.22 Zr.upf
As 74.92 As.upf
ATOMIC_POSITIONS crystal
Hf 0.156 0.344 0.000
Hf 0.344 0.844 0.000
Hf 0.656 0.156 0.000
Hf 0.844 0.656 0.000
Zr 0.000 0.000 0.500
Zr 0.500 0.500 0.500
As 0.143 0.643 0.500
As 0.357 0.143 0.500
As 0.643 0.857 0.500
As 0.857 0.357 0.500
CELL_PARAMETERS angstrom
7.208 0.000 0.000
0.000 7.208 0.000
0.000 0.000 3.545
```

Properties
- Space group: No. 127
- Energy of formation: -992 meV per atom

---

20.
Ho3Cu3Sb4 | meta-GGA SCAN | single point on PBEsol structure Values from VASP.

```
&SYSTEM
  ibrav = 0, nat = 20, ntyp = 3
/
ATOMIC_SPECIES
Ho 164.93 Ho.upf
Cu 63.55 Cu.upf
Sb 121.76 Sb.upf
ATOMIC_POSITIONS crystal
Ho 0.125 0.875 0.250
Ho 0.250 0.125 0.875
Ho 0.375 0.625 0.750
Ho 0.625 0.750 0.375
Ho 0.750 0.375 0.625
Ho 0.875 0.250 0.125
Cu 0.125 0.750 0.875
Cu 0.250 0.625 0.375
Cu 0.375 0.250 0.625
Cu 0.625 0.375 0.250
Cu 0.750 0.875 0.125
Cu 0.875 0.125 0.750
Sb 0.000 0.162 0.500
Sb 0.000 0.662 0.500
Sb 0.162 0.500 0.000
Sb 0.338 0.338 0.338
Sb 0.500 0.000 0.162
Sb 0.500 0.000 0.662
Sb 0.662 0.500 0.000
Sb 0.838 0.838 0.838
CELL_PARAMETERS angstrom
-4.704 4.704 4.704
4.704 -4.704 4.704
4.704 4.704 -4.704
```

Properties
- Space group: No. 220
- Formation energy without anion corrections: -8.0 eV per formula unit

---

Number 1: E -44.418 eV per atom. Number 2: E -22.112 eV per atom. Number 3: E -30.576 eV per atom. Number 4: E -21.908 eV per atom. Number 5: E -48.286 eV per atom. Number 6: E -38.145 eV per atom. Number 7: E -36.758 eV per atom. Number 8: E -55.557 eV per atom. Number 9: E -27.214 eV per atom. Number 10: E -20.981 eV per atom. Number 11: E -36.329 eV per atom. Number 12: E -41.659 eV per atom. Number 13: E -15.595 eV per atom. Number 14: E -39.261 eV per atom. Number 15: E -27.229 eV per atom. Number 16: E -8.902 eV per atom. Number 17: E -8.116 eV per atom. Number 18: E -39.694 eV per atom. Number 19: E -40.278 eV per atom. Number 20: E -34.963 eV per atom.